Record 1
Ir3AuS | PBE-GGA | relaxed

POSCAR file:
```
Ir3AuS
1.0
-2.1562 -3.3442 -1.8810
1.3948 -2.6932 3.1894
-3.5744 0.9664 2.3792
Ir S Au
3 1 1
Cartesian
-1.7872 0.4832 1.1896
-1.0781 -1.6721 -0.9405
0.6974 -1.3466 1.5947
0.0000 0.0000 0.0000
-2.1679 -2.5355 1.8438
```

The total DFT energy (no corrections) comes out at -5.987 eV/atom. As for the crystal system: cubic.

***

Record 2
IrAuS2 | PBE-GGA | relaxed

POSCAR file:
```
IrAuS2
1.0
-1.0549 -3.0728 1.5797
-1.5488 -2.3495 -5.6045
6.4890 -2.1080 0.2338
S Ir Au
4 2 2
Cartesian
-0.3867 -2.5194 0.5391
1.2433 -4.1704 -1.5839
1.0287 -3.7145 -5.2245
-0.6014 -2.0634 -3.1015
0.9724 -1.7600 -1.3372
-0.3305 -4.4739 -3.3482
3.0381 -5.7072 -1.4359
3.8124 -4.5324 1.3664
```

The total DFT energy (no corrections) comes out at -5.343 eV/atom. As for the crystal system: monoclinic.

***

Record 3
IrAuS2 | PBE-GGA | relaxed

POSCAR file:
```
IrAuS2
1.0
-2.6893 4.6311 3.5801
-6.3318 -4.3449 0.8643
2.4888 -2.5888 5.2184
S Ir Au
8 4 4
Cartesian
-1.2118 -2.0601 4.2934
-2.1938 3.3174 3.6747
-5.9870 0.4509 3.9717
-5.7887 -2.6513 2.3381
-3.6880 -0.8852 6.1472
-3.4525 -0.7846 2.2400
-1.4101 1.0421 5.9269
-4.9467 -4.9872 4.7126
-2.5534 -0.1834 4.2904
0.0092 -1.6632 2.3341
-3.1754 -2.9549 7.0570
-5.7380 -1.4751 9.0132
-4.2738 2.0952 3.8045
-3.0324 -3.5927 4.2355
-5.7164 -2.1963 6.2084
-1.5897 0.6988 1.8316
```

The total DFT energy (no corrections) comes out at -5.058 eV/atom. As for the crystal system: orthorhombic.